[1]
EuSn2Ir | Alexandria | PBEsol | optimized geometry; formation enthalpy at 0 K = -0.64 eV/atom
1.0
4.341 0.000 0.000
-2.170 5.483 0.000
0.000 0.000 7.481
Eu Ir Sn
2 2 4
Direct
0.933 0.865 0.250
0.067 0.135 0.750
0.789 0.577 0.750
0.211 0.423 0.250
0.355 0.710 0.953
0.355 0.710 0.547
0.645 0.290 0.453
0.645 0.290 0.047


[2]
Eu2ZnIr | Alexandria | PBEsol | optimized geometry; formation enthalpy at 0 K = -0.30 eV/atom
1.0
4.965 0.000 0.000
2.482 4.300 0.000
2.482 1.433 4.054
Eu Zn Ir
2 1 1
Direct
0.750 0.750 0.750
0.250 0.250 0.250
0.500 0.500 0.500
0.000 0.000 0.000


[3]
KEuMo2O8 | Alexandria | PBEsol | optimized geometry; raw formation energy = -52.71 kcal/mol of atoms
1.0
5.279 0.000 -0.029
2.629 6.361 -0.054
2.410 1.762 10.229
O Eu Mo K
16 2 4 2
Direct
0.589 0.191 0.340
0.837 0.906 0.682
0.694 0.373 0.745
0.251 0.507 0.595
0.306 0.143 0.803
0.411 0.809 0.660
0.459 0.315 0.088
0.749 0.493 0.405
0.694 0.857 0.197
0.209 0.014 0.067
0.114 0.563 0.870
0.163 0.094 0.318
0.886 0.437 0.130
0.541 0.685 0.912
0.791 0.986 0.933
0.306 0.627 0.255
0.879 0.312 0.937
0.121 0.688 0.063
0.385 0.074 0.173
0.615 0.926 0.827
0.638 0.434 0.283
0.362 0.566 0.717
0.883 0.804 0.443
0.117 0.196 0.557


no.,final energy (eV per atom)
1,-7.8702
2,-8.4342
3,-8.7212